! SrEuAs2, relaxed, DFT PBE; values from VASP
! **Energy of formation**: -0.942 eV per atom
! **V**: 119.5 Å³ per cell
! **Symmetry**: R-3m (166)
! **Final energy**: -6.26 eV per atom
&SYSTEM
  ibrav = 0, nat = 4, ntyp = 3
/
ATOMIC_SPECIES
Sr 87.62 Sr.upf
As 74.92 As.upf
Eu 151.96 Eu.upf
CELL_PARAMETERS angstrom
-3.126 -0.757 -3.027
1.106 -1.605 -3.964
-1.451 -7.375 0.120
ATOMIC_POSITIONS angstrom
Sr -1.736 -4.868 -3.436
As -2.623 -7.465 -5.093
As -0.849 -2.272 -1.778
Eu 0.000 0.000 0.000